No. 1
DFT (PBE) results for Mg2VCuW after structural relaxation.

a b c (Å): 5.093 4.576 5.093
angles (deg): 90.00 90.00 90.00
Fractional positions:
Cu 0.000 0.500 0.000
Mg 0.000 0.000 0.500
Mg 0.500 0.000 0.000
W 0.000 0.000 0.000
V 0.500 0.500 0.500

## Properties
- symmetry = P4/mmm, No. 123
- total DFT energy (no corrections) (eV per atom) = -4.004

=====

No. 2
DFT (PBE) results for Li2Hg8Pd after structural relaxation.

a b c (Å): 4.691 4.691 11.315
angles (deg): 90.00 90.00 90.00
Fractional positions:
Hg 0.000 0.500 0.139
Hg 0.500 0.000 0.139
Hg 0.500 0.500 0.317
Pd 0.000 0.000 0.000
Hg 0.500 0.500 0.683
Li 0.000 0.000 0.692
Hg 0.500 0.000 0.500
Li 0.000 0.000 0.308
Hg 0.000 0.500 0.500
Hg 0.500 0.000 0.861
Hg 0.000 0.500 0.861

## Properties
- symmetry = P4/mmm, No. 123
- total DFT energy (no corrections) (eV per atom) = -1.187

=====

No. 3
DFT (PBE) results for GdPtO2 after structural relaxation.

a b c (Å): 3.641 3.641 6.113
angles (deg): 72.68 72.68 60.00
Fractional positions:
Pt 0.500 0.500 0.500
O 0.872 0.872 0.385
O 0.128 0.128 0.615
Gd 0.000 0.000 0.000

## Properties
- symmetry = R-3m, No. 166
- ΔE_f (raw) (eV per atom) = -0.8183

=====

No. 4
DFT (PBE) results for KHgSe2N after structural relaxation.

a b c (Å): 5.568 5.568 4.331
angles (deg): 90.00 90.00 90.00
Fractional positions:
Se 0.000 0.500 0.000
N 0.000 0.000 0.500
K 0.500 0.500 0.500
Hg 0.000 0.000 0.000
Se 0.500 0.000 0.000

## Properties
- symmetry = P4/mmm, No. 123
- ΔE_f (raw) (eV per atom) = 0.6461

=====

no.,total magnetization (μB/cell),DOS(E_F) (states/eV/atom)
1,0.08,1.60
2,0.00,0.44
3,7.40,0.51
4,2.94,0.62